Tm5NiRu4 | PBE-GGA | relaxed

a = 3.367 Å, b = 3.367 Å, c = 16.595 Å
α = 90.00°, β = 90.00°, γ = 90.00°
Fractional coordinates of all 10 atoms:
1 Tm 0.500 0.500 0.100
2 Tm 0.500 0.500 0.900
3 Tm 0.500 0.500 0.701
4 Tm 0.500 0.500 0.500
5 Tm 0.500 0.500 0.299
6 Ru 0.000 0.000 0.195
7 Ru 0.000 0.000 0.399
8 Ru 0.000 0.000 0.805
9 Ru 0.000 0.000 0.601
10 Ni 0.000 0.000 0.000

Summary:
The energy relative to the elements is -44.4 kJ per mole of atoms. The total energy comes out at -6.985 eV per atom.


Tm5Ni4Ru | PBE-GGA | relaxed

a = 3.336 Å, b = 3.336 Å, c = 16.653 Å
α = 90.00°, β = 90.00°, γ = 90.00°
Fractional coordinates of all 10 atoms:
1 Tm 0.500 0.500 0.699
2 Tm 0.500 0.500 0.500
3 Tm 0.500 0.500 0.901
4 Tm 0.500 0.500 0.301
5 Tm 0.500 0.500 0.099
6 Ni 0.000 0.000 0.798
7 Ni 0.000 0.000 0.400
8 Ni 0.000 0.000 0.600
9 Ni 0.000 0.000 0.202
10 Ru 0.000 0.000 0.000

Summary:
The energy relative to the elements is -45.6 kJ per mole of atoms. The total energy comes out at -5.948 eV per atom.


Tm4Ni3Ru | PBE-GGA | relaxed

a = 4.720 Å, b = 6.666 Å, c = 9.443 Å
α = 90.00°, β = 90.00°, γ = 90.00°
Fractional coordinates of all 16 atoms:
1 Ni 0.000 0.000 0.500
2 Ni 0.500 0.000 0.250
3 Ni 0.500 0.500 0.750
4 Ni 0.000 0.000 0.000
5 Ni 0.500 0.000 0.750
6 Ni 0.500 0.500 0.250
7 Tm 0.500 0.250 0.500
8 Tm 0.500 0.250 0.000
9 Tm 0.000 0.750 0.750
10 Tm 0.000 0.750 0.250
11 Tm 0.000 0.250 0.750
12 Tm 0.000 0.250 0.250
13 Tm 0.500 0.750 0.000
14 Tm 0.500 0.750 0.500
15 Ru 0.000 0.500 0.000
16 Ru 0.000 0.500 0.500

Summary:
The energy relative to the elements is -44.4 kJ per mole of atoms. The total energy comes out at -6.023 eV per atom.


Tm3NiRu | PBE-GGA | relaxed

a = 4.211 Å, b = 5.954 Å, c = 8.643 Å
α = 89.73°, β = 90.00°, γ = 89.99°
Fractional coordinates of all 10 atoms:
1 Tm 0.250 0.760 0.552
2 Tm 0.750 0.241 0.053
3 Tm 0.250 0.254 0.750
4 Tm 0.750 0.240 0.448
5 Tm 0.750 0.746 0.250
6 Tm 0.250 0.759 0.947
7 Ni 0.250 0.468 0.250
8 Ni 0.750 0.532 0.750
9 Ru 0.250 0.047 0.250
10 Ru 0.750 0.953 0.750

Summary:
The energy relative to the elements is -38.3 kJ per mole of atoms. The total energy comes out at -6.092 eV per atom.


Tm8NiRu2 | PBE-GGA | relaxed

a = 4.772 Å, b = 6.758 Å, c = 8.901 Å
α = 107.19°, β = 105.55°, γ = 90.00°
Fractional coordinates of all 11 atoms:
1 Tm 0.667 0.963 0.335
2 Tm 0.404 0.546 0.808
3 Tm 0.969 0.210 0.938
4 Tm 0.795 0.687 0.591
5 Tm 0.205 0.313 0.409
6 Tm 0.333 0.037 0.665
7 Tm 0.031 0.790 0.062
8 Tm 0.596 0.454 0.192
9 Ru 0.816 0.299 0.632
10 Ru 0.184 0.701 0.368
11 Ni 0.500 0.000 0.000

Summary:
The energy relative to the elements is -27.4 kJ per mole of atoms. The total energy comes out at -5.748 eV per atom.


Tm4NiRu | PBE-GGA | relaxed

a = 6.034 Å, b = 6.464 Å, c = 7.547 Å
α = 90.00°, β = 108.05°, γ = 90.00°
Fractional coordinates of all 12 atoms:
1 Ni 0.243 0.250 0.566
2 Ni 0.757 0.750 0.434
3 Tm 0.997 0.000 0.738
4 Tm 0.549 0.250 0.381
5 Tm 0.427 0.750 0.100
6 Tm 0.573 0.250 0.900
7 Tm 0.451 0.750 0.619
8 Tm 0.997 0.500 0.738
9 Tm 0.003 0.000 0.262
10 Tm 0.003 0.500 0.262
11 Ru 0.205 0.250 0.047
12 Ru 0.795 0.750 0.953

Summary:
The energy relative to the elements is -32.6 kJ per mole of atoms. The total energy comes out at -5.828 eV per atom.


Tm8NiRu2 | PBE-GGA | relaxed

a = 5.789 Å, b = 7.426 Å, c = 7.426 Å
α = 112.38°, β = 100.63°, γ = 100.63°
Fractional coordinates of all 11 atoms:
1 Ru 0.484 0.696 0.318
2 Ru 0.484 0.318 0.696
3 Tm 0.176 0.362 0.362
4 Tm 0.989 0.789 0.211
5 Tm 0.582 0.345 0.084
6 Tm 0.582 0.084 0.345
7 Tm 0.989 0.211 0.789
8 Tm 0.382 0.927 0.667
9 Tm 0.797 0.638 0.638
10 Tm 0.382 0.667 0.927
11 Ni 0.153 0.997 0.997

Summary:
The energy relative to the elements is -23.1 kJ per mole of atoms. The total energy comes out at -5.704 eV per atom.


Tm8NiRu5 | PBE-GGA | relaxed

a = 7.276 Å, b = 7.276 Å, c = 7.276 Å
α = 109.62°, β = 109.17°, γ = 109.62°
Fractional coordinates of all 14 atoms:
1 Tm 0.266 0.243 0.391
2 Tm 0.147 0.757 0.022
3 Tm 0.500 0.605 0.257
4 Tm 0.978 0.125 0.734
5 Tm 0.652 0.395 0.894
6 Tm 0.743 0.243 0.348
7 Tm 0.609 0.875 0.853
8 Tm 0.106 0.757 0.500
9 Ru 0.500 0.000 0.500
10 Ru 0.030 0.384 0.147
11 Ru 0.853 0.884 0.237
12 Ru 0.763 0.616 0.647
13 Ru 0.353 0.116 0.970
14 Ni 0.250 0.500 0.750

Summary:
The energy relative to the elements is -27.2 kJ per mole of atoms. The total energy comes out at -6.562 eV per atom.


Tm4NiRu | PBE-GGA | relaxed

a = 6.661 Å, b = 6.681 Å, c = 6.656 Å
α = 90.00°, β = 89.73°, γ = 90.00°
Fractional coordinates of all 12 atoms:
1 Tm 0.161 0.839 0.663
2 Tm 0.339 0.339 0.337
3 Tm 0.665 0.165 0.836
4 Tm 0.835 0.665 0.164
5 Tm 0.661 0.661 0.663
6 Tm 0.335 0.835 0.164
7 Tm 0.839 0.161 0.337
8 Tm 0.165 0.335 0.836
9 Ru 0.000 0.500 0.500
10 Ru 0.500 0.000 0.500
11 Ni 0.500 0.500 0.000
12 Ni 0.000 0.000 0.000

Summary:
The energy relative to the elements is -29.2 kJ per mole of atoms. The total energy comes out at -5.793 eV per atom.


Tm4NiRu3 | PBE-GGA | relaxed

a = 4.748 Å, b = 4.748 Å, c = 7.468 Å
α = 108.55°, β = 108.53°, γ = 90.00°
Fractional coordinates of all 8 atoms:
1 Tm 0.374 0.374 0.748
2 Tm 0.126 0.126 0.252
3 Tm 0.626 0.626 0.252
4 Tm 0.874 0.874 0.748
5 Ru 0.750 0.250 0.499
6 Ru 0.250 0.750 0.501
7 Ru 0.000 0.500 0.000
8 Ni 0.500 0.000 0.000

Summary:
The energy relative to the elements is -44.5 kJ per mole of atoms. The total energy comes out at -6.898 eV per atom.


Tm6Ni5Ru | PBE-GGA | relaxed

a = 4.739 Å, b = 6.609 Å, c = 7.481 Å
α = 90.00°, β = 71.54°, γ = 90.00°
Fractional coordinates of all 12 atoms:
1 Tm 0.166 0.751 0.667
2 Tm 0.500 0.750 0.000
3 Tm 0.834 0.249 0.333
4 Tm 0.166 0.249 0.667
5 Tm 0.500 0.250 0.000
6 Tm 0.834 0.751 0.333
7 Ni 0.000 0.500 0.000
8 Ni 0.665 0.000 0.671
9 Ni 0.333 0.500 0.334
10 Ni 0.335 0.000 0.329
11 Ni 0.667 0.500 0.666
12 Ru 0.000 0.000 0.000

Summary:
The energy relative to the elements is -44.6 kJ per mole of atoms. The total energy comes out at -5.879 eV per atom.


Tm6NiRu2 | PBE-GGA | relaxed

a = 6.374 Å, b = 7.307 Å, c = 9.235 Å
α = 90.00°, β = 88.15°, γ = 90.00°
Fractional coordinates of all 18 atoms:
1 Ru 0.540 0.881 0.762
2 Ru 0.960 0.381 0.738
3 Ru 0.460 0.119 0.238
4 Ru 0.040 0.619 0.262
5 Tm 0.347 0.547 0.742
6 Tm 0.656 0.174 0.569
7 Tm 0.333 0.826 0.066
8 Tm 0.653 0.453 0.258
9 Tm 0.667 0.174 0.934
10 Tm 0.153 0.047 0.758
11 Tm 0.847 0.953 0.242
12 Tm 0.833 0.674 0.566
13 Tm 0.156 0.326 0.069
14 Tm 0.344 0.826 0.431
15 Tm 0.844 0.674 0.931
16 Tm 0.167 0.326 0.434
17 Ni 0.000 0.000 0.500
18 Ni 0.500 0.500 0.000

Summary:
The energy relative to the elements is -33.9 kJ per mole of atoms. The total energy comes out at -6.036 eV per atom.


Tm7Ni2Ru2 | PBE-GGA | relaxed

a = 6.503 Å, b = 6.712 Å, c = 6.503 Å
α = 90.01°, β = 102.94°, γ = 89.99°
Fractional coordinates of all 11 atoms:
1 Ni 0.780 0.500 0.780
2 Ni 0.220 0.500 0.220
3 Tm 0.500 0.739 0.000
4 Tm 0.500 0.256 0.500
5 Tm 0.500 0.744 0.500
6 Tm 0.000 0.000 0.000
7 Tm 0.000 0.261 0.500
8 Tm 0.500 0.261 0.000
9 Tm 0.000 0.739 0.500
10 Ru 0.720 0.000 0.280
11 Ru 0.280 0.000 0.720

Summary:
The energy relative to the elements is -14.8 kJ per mole of atoms. The total energy comes out at -5.736 eV per atom.


Tm2Ni3Ru | PBE-GGA | relaxed

a = 5.027 Å, b = 5.027 Å, c = 5.178 Å
α = 89.85°, β = 119.09°, γ = 120.13°
Fractional coordinates of all 6 atoms:
1 Ni 0.500 0.000 0.500
2 Ni 0.000 0.000 0.500
3 Ni 0.500 0.500 0.500
4 Tm 0.752 0.376 0.128
5 Tm 0.248 0.624 0.872
6 Ru 0.000 0.000 0.000

Summary:
The energy relative to the elements is -43.2 kJ per mole of atoms. The total energy comes out at -6.375 eV per atom.


Tm6NiRu | PBE-GGA | relaxed

a = 6.541 Å, b = 6.544 Å, c = 6.309 Å
α = 58.76°, β = 80.27°, γ = 70.98°
Fractional coordinates of all 8 atoms:
1 Tm 0.246 0.250 0.000
2 Tm 0.754 0.750 0.000
3 Tm 0.749 0.418 0.654
4 Tm 0.251 0.928 0.654
5 Tm 0.251 0.582 0.346
6 Tm 0.749 0.072 0.346
7 Ru 0.500 0.500 0.000
8 Ni 0.000 0.000 0.000

Summary:
The energy relative to the elements is -18.3 kJ per mole of atoms. The total energy comes out at -5.425 eV per atom.


YTmNiRu | PBE-GGA | relaxed

a = 4.772 Å, b = 4.772 Å, c = 4.772 Å
α = 60.00°, β = 60.00°, γ = 60.00°
Fractional coordinates of all 4 atoms:
1 Ni 0.250 0.250 0.250
2 Ru 0.750 0.750 0.750
3 Tm 0.500 0.500 0.500
4 Y 0.000 0.000 0.000

Summary:
The energy relative to the elements is -40.0 kJ per mole of atoms. The total energy comes out at -6.912 eV per atom.


YTmNiRu | PBE-GGA | relaxed

a = 3.386 Å, b = 3.386 Å, c = 6.713 Å
α = 90.00°, β = 90.00°, γ = 90.00°
Fractional coordinates of all 4 atoms:
1 Ru 0.500 0.500 0.114
2 Tm 0.000 0.000 0.356
3 Y 0.000 0.000 0.859
4 Ni 0.500 0.500 0.599

Summary:
The energy relative to the elements is -42.0 kJ per mole of atoms. The total energy comes out at -6.934 eV per atom.


Tm4ZnNi2Ru | PBE-GGA | relaxed

a = 4.787 Å, b = 4.787 Å, c = 8.316 Å
α = 73.27°, β = 73.27°, γ = 60.00°
Fractional coordinates of all 8 atoms:
1 Zn 0.000 0.000 0.000
2 Tm 0.872 0.872 0.384
3 Tm 0.621 0.621 0.138
4 Tm 0.379 0.379 0.862
5 Tm 0.128 0.128 0.616
6 Ni 0.250 0.250 0.251
7 Ni 0.750 0.750 0.749
8 Ru 0.500 0.500 0.500

Summary:
The energy relative to the elements is -42.3 kJ per mole of atoms. The total energy comes out at -5.439 eV per atom.


UNiRu | PBE-GGA | relaxed

a = 5.327 Å, b = 4.881 Å, c = 4.881 Å
α = 88.09°, β = 90.00°, γ = 90.00°
Site moments in Bohr magnetons follow the coordinates.
Fractional coordinates of all 6 atoms:
1 Ru 0.000 0.683 0.683  -0.10
2 Ru 0.000 0.317 0.317  -0.10
3 U 0.500 0.500 0.500  1.67
4 U 0.000 0.000 0.000  0.38
5 Ni 0.500 0.835 0.165  -0.10
6 Ni 0.500 0.165 0.835  -0.10

Summary:
The energy relative to the elements is 61.6 kJ per mole of atoms. The total energy comes out at -8.144 eV per atom.


U2Ni9Ru | PBE-GGA | relaxed

a = 4.505 Å, b = 4.505 Å, c = 8.296 Å
α = 90.00°, β = 90.00°, γ = 70.55°
Site moments in Bohr magnetons follow the coordinates.
Fractional coordinates of all 12 atoms:
1 Ni 0.000 0.500 0.500  0.01
2 Ni 0.500 0.000 0.500  0.01
3 Ni 0.500 0.500 0.662  0.01
4 Ni 0.500 0.500 0.338  0.01
5 Ni 0.500 0.500 0.000  0.04
6 Ni 0.500 0.000 0.843  0.03
7 Ni 0.500 0.000 0.157  0.03
8 Ni 0.000 0.500 0.157  0.03
9 Ni 0.000 0.500 0.843  0.03
10 U 0.000 0.000 0.312  -0.29
11 U 0.000 0.000 0.688  -0.29
12 Ru 0.000 0.000 0.000  0.07

Summary:
The energy relative to the elements is -3.2 kJ per mole of atoms. The total energy comes out at -7.024 eV per atom.


UNi4Ru | PBE-GGA | relaxed

a = 4.828 Å, b = 4.828 Å, c = 4.828 Å
α = 60.00°, β = 60.00°, γ = 60.00°
Site moments in Bohr magnetons follow the coordinates.
Fractional coordinates of all 6 atoms:
1 Ni 0.624 0.624 0.127  0.23
2 Ni 0.624 0.624 0.624  0.23
3 Ni 0.127 0.624 0.624  0.23
4 Ni 0.624 0.127 0.624  0.23
5 U 0.000 0.000 0.000  -0.58
6 Ru 0.250 0.250 0.250  0.23

Summary:
The energy relative to the elements is -17.8 kJ per mole of atoms. The total energy comes out at -7.466 eV per atom.


U2Ni3Ru | PBE-GGA | relaxed

a = 5.009 Å, b = 5.009 Å, c = 8.126 Å
α = 103.39°, β = 103.39°, γ = 84.20°
Fractional coordinates of all 12 atoms:
1 U 0.594 0.155 0.908
2 U 0.845 0.406 0.592
3 U 0.155 0.594 0.408
4 U 0.406 0.845 0.092
5 Ni 0.624 0.376 0.250
6 Ni 0.376 0.624 0.750
7 Ni 0.357 0.165 0.567
8 Ni 0.165 0.357 0.067
9 Ni 0.643 0.835 0.433
10 Ni 0.835 0.643 0.933
11 Ru 0.980 0.020 0.750
12 Ru 0.020 0.980 0.250

Summary:
The energy relative to the elements is -11.9 kJ per mole of atoms. The total energy comes out at -8.323 eV per atom.


UNiRu | PBE-GGA | relaxed

a = 3.618 Å, b = 3.618 Å, c = 4.584 Å
α = 90.00°, β = 90.00°, γ = 120.00°
Fractional coordinates of all 3 atoms:
1 Ni 0.000 0.000 0.990
2 U 0.667 0.333 0.338
3 Ru 0.333 0.667 0.671

Summary:
The energy relative to the elements is 0.4 kJ per mole of atoms. The total energy comes out at -8.777 eV per atom.